[1]
Entry from Alexandria: a geometry-optimized CaFe3Ge structure (PBE-GGA).

Properties
The crystal system is cubic. Its total magnetization is 7.571 μB/cell. Its symmetry is Pm-3m (221). The formation energy is 2.7 eV/f.u. As for the electronic total energy: -29.327 eV/f.u.

Unit cell a=4.5883 b=4.5883 c=4.5883 alpha=90.00 beta=90.00 gamma=90.00
Last column: nearest neighbours and their distance in Å.
Positions (direct):
Fe1 0.0000 0.5000 0.0000  2 Ge 2.29
Fe2 0.0000 0.0000 0.5000  2 Ge 2.29
Fe3 0.5000 0.0000 0.0000  2 Ge 2.29
Ca1 0.5000 0.5000 0.5000  12 Fe 3.24
Ge1 0.0000 0.0000 0.0000  6 Fe 2.29


[2]
Entry from Alexandria: a geometry-optimized SrTa2Se structure (PBE-GGA).

Properties
The crystal system is monoclinic. Its total magnetization is 0.000 μB/cell. Its symmetry is Pm (6). As for the electronic total energy: -29.087 eV/f.u.

Unit cell a=4.3212 b=3.4722 c=6.6434 alpha=75.12 beta=90.00 gamma=90.00
Last column: nearest neighbours and their distance in Å.
Positions (direct):
Se1 0.0000 0.3308 0.4652  4 Ta 2.66-2.77
Ta1 0.5000 0.4628 0.1964  2 Se 2.77, 4 Ta 2.79
Ta2 0.0000 0.9850 0.1515  2 Se 2.66, 4 Ta 2.79
Sr1 0.5000 0.7214 0.6869  4 Se 3.12, 1 Ta 3.27, 2 Sr 3.47


[3]
Entry from Alexandria: a geometry-optimized Y2SiSe structure (PBE-GGA).

Properties
The crystal system is tetragonal. Its total magnetization is 0.000 μB/cell. Its symmetry is I4_1/amd (141). As for the electronic total energy: -27.214 eV/f.u.

Unit cell a=5.8076 b=5.8067 c=11.6817 alpha=90.00 beta=90.00 gamma=90.00
Last column: nearest neighbours and their distance in Å.
Positions (direct):
Y1 0.7500 0.4999 0.6292  3 Si 2.87-2.90, 3 Se 2.90-2.97
Y2 0.7500 0.5001 0.1208  3 Si 2.87-2.90, 3 Se 2.90-2.97
Y3 0.7500 0.9999 0.3792  3 Si 2.87-2.90, 3 Se 2.90-2.97
Y4 0.2500 0.4999 0.8792  3 Si 2.87-2.90, 3 Se 2.90-2.97
Y5 0.2500 0.0001 0.6208  3 Si 2.87-2.90, 3 Se 2.90-2.97
Y6 0.2500 0.9999 0.1292  3 Si 2.87-2.90, 3 Se 2.90-2.97
Y7 0.7500 0.0001 0.8708  3 Si 2.87-2.90, 3 Se 2.90-2.97
Y8 0.2500 0.5001 0.3708  3 Si 2.87-2.90, 3 Se 2.90-2.97
Se1 0.7500 0.4999 0.3750  6 Y 2.90-2.97
Se2 0.2500 0.5001 0.6250  6 Y 2.90-2.97
Se3 0.7500 0.0001 0.1250  6 Y 2.90-2.97
Se4 0.2500 0.9999 0.8750  6 Y 2.90-2.97
Si1 0.7499 0.9999 0.6250  6 Y 2.87-2.90
Si2 0.7499 0.5001 0.8750  6 Y 2.87-2.90
Si3 0.2501 0.4999 0.1250  6 Y 2.87-2.90
Si4 0.2501 0.0001 0.3750  6 Y 2.87-2.90